Entry 1:
Below is a relaxed structure of Sm8C3S4N, with properties calculated at the PBE level.

Summary:
Density of states at the Fermi level, states/eV/cell: 3.1
Magnetization, μB per formula unit: 0.00

a b c (Å): 7.6039 7.8468 7.6040
angles (deg): 118.99 120.00 90.00
Fractional positions:
Sm1 0.2381 0.7135 0.9755
Sm2 0.2381 0.7135 0.4761
Sm3 0.2608 0.2825 0.5216
Sm4 0.7374 0.7135 0.9755
Sm5 0.2626 0.2865 0.0245
Sm6 0.7392 0.7175 0.4784
Sm7 0.7619 0.2865 0.5239
Sm8 0.7619 0.2865 0.0245
C1 0.5000 0.5000 0.0000
C2 0.5000 0.5000 0.5000
C3 0.0000 0.5000 0.5000
S1 0.5000 0.0000 0.0000
S2 0.5000 0.0000 0.5000
S3 0.0000 0.0000 0.0000
S4 0.0000 0.0000 0.5000
N1 0.0000 0.5000 0.0000

Entry 2:
Below is a relaxed structure of Sm4CS2N, with properties calculated at the PBE level.

Summary:
Density of states at the Fermi level, states/eV/cell: 1.3
Magnetization, μB per formula unit: 0.00

a b c (Å): 3.7830 6.5402 6.8237
angles (deg): 108.65 90.00 90.00
Fractional positions:
Sm1 0.5000 0.2378 0.2126
Sm2 0.5000 0.7622 0.7874
Sm3 0.0000 0.2614 0.7840
Sm4 0.0000 0.7386 0.2160
C1 0.5000 0.5000 0.0000
S1 0.5000 0.0000 0.5000
S2 0.0000 0.5000 0.5000
N1 0.0000 0.0000 0.0000

Entry 3:
Below is a relaxed structure of Sm8CS3N3, with properties calculated at the PBE level.

Summary:
Density of states at the Fermi level, states/eV/cell: 7.7
Magnetization, μB per formula unit: 0.17

a b c (Å): 7.4550 7.4556 7.7268
angles (deg): 118.85 90.01 119.99
Fractional positions:
Sm1 0.2630 0.5261 0.2893
Sm2 0.7370 0.4739 0.7107
Sm3 0.7609 0.5219 0.2861
Sm4 0.2391 0.4781 0.7139
Sm5 0.7608 0.0251 0.2861
Sm6 0.2392 0.9749 0.7139
Sm7 0.2643 0.0251 0.2861
Sm8 0.7357 0.9749 0.7139
C1 0.0000 0.0000 0.5000
S1 0.0000 0.0000 0.0000
S2 0.0000 0.5000 0.0000
S3 0.5000 0.5000 0.0000
N1 0.5000 0.0000 0.5000
N2 0.5000 0.5000 0.5000
N3 0.0000 0.5000 0.5000

Entry 4:
Below is a relaxed structure of Sm6CS3N2, with properties calculated at the PBE level.

Summary:
Density of states at the Fermi level, states/eV/cell: 2.3
Magnetization, μB per formula unit: 0.00

a b c (Å): 6.5142 6.5142 6.8166
angles (deg): 99.14 99.14 120.01
Fractional positions:
Sm1 0.9290 0.5947 0.7866
Sm2 0.7365 0.7365 0.2127
Sm3 0.0710 0.4053 0.2134
Sm4 0.5947 0.9290 0.7866
Sm5 0.2635 0.2635 0.7873
Sm6 0.4053 0.0710 0.2134
C1 0.0000 0.0000 0.0000
S1 0.1658 0.8342 0.5000
S2 0.8342 0.1658 0.5000
S3 0.5000 0.5000 0.5000
N1 0.3333 0.6667 0.0000
N2 0.6667 0.3333 0.0000

Entry 5:
Below is a relaxed structure of Sm8C3S3N, with properties calculated at the PBE level.

Summary:
Density of states at the Fermi level, states/eV/cell: 6.5
Magnetization, μB per formula unit: 0.80

a b c (Å): 7.5580 7.5576 7.8269
angles (deg): 118.87 90.01 120.00
Fractional positions:
Sm1 0.2606 0.5212 0.2819
Sm2 0.7394 0.4788 0.7181
Sm3 0.7634 0.5268 0.2886
Sm4 0.2366 0.4732 0.7114
Sm5 0.7633 0.0252 0.2886
Sm6 0.2367 0.9748 0.7114
Sm7 0.2619 0.0252 0.2886
Sm8 0.7381 0.9748 0.7114
C1 0.5000 0.0000 0.5000
C2 0.5000 0.5000 0.5000
C3 0.0000 0.5000 0.5000
S1 0.0000 0.0000 0.0000
S2 0.0000 0.5000 0.0000
S3 0.5000 0.5000 0.0000
N1 0.0000 0.0000 0.5000

Entry 6:
Below is a relaxed structure of SnC2S2N2, with properties calculated at the PBE level.

Summary:
Density of states at the Fermi level, states/eV/cell: 0.0
Magnetization, μB per formula unit: 0.00

a b c (Å): 5.7201 5.7064 10.7117
angles (deg): 101.79 94.75 93.36
Fractional positions:
Sn1 0.8895 0.7963 0.2601
Sn2 0.1105 0.2037 0.7399
C1 0.7999 0.2610 0.9974
C2 0.2001 0.7390 0.0026
C3 0.8146 0.6158 0.6286
C4 0.1854 0.3842 0.3714
S1 0.6713 0.2938 0.1280
S2 0.7384 0.8657 0.5933
S3 0.2616 0.1343 0.4067
S4 0.3287 0.7062 0.8720
N1 0.1363 0.5692 0.3461
N2 0.8881 0.2354 0.8996
N3 0.1119 0.7646 0.1004
N4 0.8637 0.4308 0.6539

Entry 7:
Below is a relaxed structure of Sn2CSN, with properties calculated at the PBE level.

Summary:
Density of states at the Fermi level, states/eV/cell: 2.5
Magnetization, μB per formula unit: 0.63

a b c (Å): 5.3538 3.4134 5.3538
angles (deg): 90.00 90.00 90.00
Fractional positions:
C1 0.0000 0.5000 0.0000
S1 0.0000 0.0000 0.0000
Sn1 0.0000 0.0000 0.5000
Sn2 0.5000 0.0000 0.0000
N1 0.5000 0.5000 0.5000

Entry 8:
Below is a relaxed structure of SrCSN2, with properties calculated at the PBE level.

Summary:
E above lowest polymorph, meV per atom: 1345.9
Density of states at the Fermi level, states/eV/cell: 4.7
Magnetization, μB per formula unit: 5.76

a b c (Å): 4.9496 4.9496 6.0070
angles (deg): 90.00 90.00 90.00
Fractional positions:
Sr1 0.0000 0.0000 0.0000
S1 0.0000 0.0000 0.5000
C1 0.5000 0.5000 0.5000
N1 0.0000 0.5000 0.0000
N2 0.5000 0.0000 0.0000

Entry 9:
Below is a relaxed structure of SrCS2N, with properties calculated at the PBE level.

Summary:
E above lowest polymorph, meV per atom: 0.0
Density of states at the Fermi level, states/eV/cell: 2.1
Magnetization, μB per formula unit: 1.89

a b c (Å): 4.4438 4.4438 3.9699
angles (deg): 90.00 90.00 90.00
Fractional positions:
Sr1 0.5000 0.5000 0.5000
S1 0.0000 0.5000 0.0000
S2 0.5000 0.0000 0.0000
C1 0.0000 0.0000 0.0000
N1 0.0000 0.0000 0.5000

Entry 10:
Below is a relaxed structure of SrCS2N, with properties calculated at the PBE level.

Summary:
E above lowest polymorph, meV per atom: 1363.1
Density of states at the Fermi level, states/eV/cell: 3.2
Magnetization, μB per formula unit: 3.00

a b c (Å): 5.8050 5.8050 4.9592
angles (deg): 90.00 90.00 90.00
Fractional positions:
Sr1 0.0000 0.0000 0.0000
S1 0.0000 0.5000 0.0000
S2 0.5000 0.0000 0.0000
C1 0.5000 0.5000 0.5000
N1 0.0000 0.0000 0.5000

Entry 11:
Below is a relaxed structure of SrCSN2, with properties calculated at the PBE level.

Summary:
E above lowest polymorph, meV per atom: 0.0
Density of states at the Fermi level, states/eV/cell: 3.9
Magnetization, μB per formula unit: 1.95

a b c (Å): 4.0329 4.0329 3.9852
angles (deg): 90.00 90.00 90.00
Fractional positions:
Sr1 0.5000 0.5000 0.5000
S1 0.0000 0.0000 0.5000
C1 0.0000 0.0000 0.0000
N1 0.0000 0.5000 0.0000
N2 0.5000 0.0000 0.0000

Entry 12:
Below is a relaxed structure of TaCS2N, with properties calculated at the PBE level.

Summary:
E above lowest polymorph, meV per atom: 71.2
Density of states at the Fermi level, states/eV/cell: 5.4
Magnetization, μB per formula unit: 0.00

a b c (Å): 4.8694 4.8694 3.8712
angles (deg): 90.00 90.00 90.00
Fractional positions:
S1 0.0000 0.5000 0.0000
S2 0.5000 0.0000 0.0000
N1 0.0000 0.0000 0.5000
C1 0.5000 0.5000 0.5000
Ta1 0.0000 0.0000 0.0000

Entry 13:
Below is a relaxed structure of TaCS2N, with properties calculated at the PBE level.

Summary:
E above lowest polymorph, meV per atom: 0.0
Density of states at the Fermi level, states/eV/cell: 2.0
Magnetization, μB per formula unit: 0.00

a b c (Å): 4.0192 4.0192 3.5542
angles (deg): 90.00 90.00 90.00
Fractional positions:
S1 0.0000 0.5000 0.0000
S2 0.5000 0.0000 0.0000
N1 0.0000 0.0000 0.5000
C1 0.0000 0.0000 0.0000
Ta1 0.5000 0.5000 0.5000

Entry 14:
Below is a relaxed structure of Tb8CS3N3, with properties calculated at the PBE level.

Summary:
Density of states at the Fermi level, states/eV/cell: 5.6
Magnetization, μB per formula unit: 0.00

a b c (Å): 7.2941 7.2947 7.5420
angles (deg): 118.92 90.00 120.00
Fractional positions:
Tb1 0.2635 0.5269 0.2905
Tb2 0.7365 0.4731 0.7095
Tb3 0.7607 0.5214 0.2858
Tb4 0.2393 0.4786 0.7142
Tb5 0.7606 0.0250 0.2858
Tb6 0.2394 0.9750 0.7142
Tb7 0.2644 0.0250 0.2858
Tb8 0.7356 0.9750 0.7142
C1 0.0000 0.0000 0.5000
S1 0.0000 0.0000 0.0000
S2 0.0000 0.5000 0.0000
S3 0.5000 0.5000 0.0000
N1 0.5000 0.0000 0.5000
N2 0.5000 0.5000 0.5000
N3 0.0000 0.5000 0.5000

Entry 15:
Below is a relaxed structure of Tb6CS3N2, with properties calculated at the PBE level.

Summary:
Density of states at the Fermi level, states/eV/cell: 2.3
Magnetization, μB per formula unit: 0.00

a b c (Å): 6.3690 6.3690 6.6621
angles (deg): 99.14 99.14 120.01
Fractional positions:
Tb1 0.9294 0.5956 0.7878
Tb2 0.7365 0.7365 0.2116
Tb3 0.0706 0.4044 0.2122
Tb4 0.5956 0.9294 0.7878
Tb5 0.2635 0.2635 0.7884
Tb6 0.4044 0.0706 0.2122
C1 0.0000 0.0000 0.0000
S1 0.1661 0.8339 0.5000
S2 0.8339 0.1661 0.5000
S3 0.5000 0.5000 0.5000
N1 0.3333 0.6667 0.0000
N2 0.6667 0.3333 0.0000

Entry 16:
Below is a relaxed structure of Tb4CS2N, with properties calculated at the PBE level.

Summary:
Density of states at the Fermi level, states/eV/cell: 1.3
Magnetization, μB per formula unit: 0.00

a b c (Å): 3.6980 6.3938 6.6717
angles (deg): 108.64 90.00 90.00
Fractional positions:
Tb1 0.5000 0.2377 0.2114
Tb2 0.5000 0.7623 0.7886
Tb3 0.0000 0.2623 0.7857
Tb4 0.0000 0.7377 0.2143
C1 0.5000 0.5000 0.0000
S1 0.5000 0.0000 0.5000
S2 0.0000 0.5000 0.5000
N1 0.0000 0.0000 0.0000

Entry 17:
Below is a relaxed structure of Tb6C2S3N, with properties calculated at the PBE level.

Summary:
Density of states at the Fermi level, states/eV/cell: 2.2
Magnetization, μB per formula unit: 0.00

a b c (Å): 3.7121 7.6561 8.5070
angles (deg): 105.46 102.60 90.00
Fractional positions:
Tb1 0.3414 0.8964 0.6829
Tb2 0.6744 0.5628 0.3487
Tb3 0.6586 0.1036 0.3171
Tb4 0.0090 0.2292 0.0180
Tb5 0.9910 0.7708 0.9820
Tb6 0.3256 0.4372 0.6513
C1 0.8358 0.6711 0.6715
C2 0.1642 0.3289 0.3285
S1 0.5000 0.5000 0.0000
S2 0.8339 0.1665 0.6677
S3 0.1661 0.8335 0.3323
N1 0.5000 0.0000 0.0000

Entry 18:
Below is a relaxed structure of Tb8CS4N3, with properties calculated at the PBE level.

Summary:
Density of states at the Fermi level, states/eV/cell: 3.3
Magnetization, μB per formula unit: 0.00

a b c (Å): 7.3420 7.5972 7.3422
angles (deg): 118.90 120.00 90.00
Fractional positions:
Tb1 0.2373 0.7122 0.9749
Tb2 0.2374 0.7122 0.4747
Tb3 0.2632 0.2898 0.5265
Tb4 0.7376 0.7122 0.9749
Tb5 0.2624 0.2878 0.0251
Tb6 0.7368 0.7102 0.4735
Tb7 0.7626 0.2878 0.5253
Tb8 0.7627 0.2878 0.0251
C1 0.0000 0.5000 0.0000
S1 0.5000 0.0000 0.0000
S2 0.5000 0.0000 0.5000
S3 0.0000 0.0000 0.0000
S4 0.0000 0.0000 0.5000
N1 0.5000 0.5000 0.0000
N2 0.5000 0.5000 0.5000
N3 0.0000 0.5000 0.5000

Entry 19:
Below is a relaxed structure of TcCS2N, with properties calculated at the PBE level.

Summary:
E above lowest polymorph, meV per atom: 0.0
Density of states at the Fermi level, states/eV/cell: 3.5
Magnetization, μB per formula unit: 1.03

a b c (Å): 5.3361 5.3361 2.4560
angles (deg): 90.00 90.00 90.00
Fractional positions:
C1 0.0000 0.0000 0.0000
S1 0.0000 0.5000 0.0000
S2 0.5000 0.0000 0.0000
Tc1 0.5000 0.5000 0.5000
N1 0.0000 0.0000 0.5000

Entry 20:
Below is a relaxed structure of TcCSN2, with properties calculated at the PBE level.

Summary:
E above lowest polymorph, meV per atom: 0.0
Density of states at the Fermi level, states/eV/cell: 3.2
Magnetization, μB per formula unit: 0.00

a b c (Å): 3.7926 3.7926 4.4138
angles (deg): 90.00 90.00 90.00
Fractional positions:
C1 0.0000 0.0000 0.5000
S1 0.5000 0.5000 0.5000
Tc1 0.0000 0.0000 0.0000
N1 0.0000 0.5000 0.0000
N2 0.5000 0.0000 0.0000

| no. | E (eV per cell) | uncorrected formation energy (eV/atom) |
| --- | --- | --- |
| 1 | -111.69 | -1.34 |
| 2 | -56.65 | -1.50 |
| 3 | -106.37 | -1.47 |
| 4 | -85.71 | -1.59 |
| 5 | -102.98 | -1.12 |
| 6 | -92.88 | 0.13 |
| 7 | -21.01 | 1.74 |
| 8 | -17.50 | 2.84 |
| 9 | -23.09 | 0.88 |
| 10 | -16.28 | 2.24 |
| 11 | -24.23 | 1.49 |
| 12 | -30.76 | 1.38 |
| 13 | -31.11 | 1.31 |
| 14 | -106.98 | -1.56 |
| 15 | -86.20 | -1.68 |
| 16 | -57.00 | -1.58 |
| 17 | -84.74 | -1.48 |
| 18 | -115.33 | -1.72 |
| 19 | -30.37 | 1.16 |
| 20 | -31.85 | 1.70 |